5
Lattice="4.111 0.000 0.000 0.000 4.111 0.000 0.000 0.000 4.237" Properties=species:S:1:pos:R:3 comment="SnSeO2F (PBE-GGA, relaxed)" magmom_total_mub_per_fu=1.8 formation_energy_uncorrected_ev_per_atom=-0.68 total_energy_ev_per_atom=-4.54 pbc="T T T"
O 0.000 2.056 0.000
O 2.056 0.000 0.000
Sn 0.000 0.000 0.000
Se 2.056 2.056 2.118
F 0.000 0.000 2.118